VASP calculation (GGA+U) on a relaxed MnV4O12 crystal.

```
17
Lattice="4.9940 -4.3605 0.0000 4.9940 4.3605 0.0000 -2.0332 0.0000 5.6519" Properties=species:S:1:pos:R:3 pbc="T T T"
Mn 0.0000 0.0000 0.0000
V 2.9683 1.4474 0.0823
V 1.8185 -0.0967 2.7627
V 4.9864 1.4474 5.5696
V 6.1362 -0.0967 2.8892
O 3.5908 3.0598 0.2158
O 0.3370 0.0262 1.8634
O 1.7989 0.5264 4.5047
O 4.3639 3.0598 5.4362
O 3.0850 0.6609 1.6735
O 2.1871 -1.6743 2.8523
O 4.8697 0.6609 3.9785
O 6.1558 0.5264 1.1473
O 3.7004 -2.9202 0.2652
O 5.7676 -1.6743 2.7997
O 7.6177 0.0262 3.7885
O 4.2543 -2.9202 5.3868
```

crystal system = monoclinic
total magnetic moment = 2.9 μB per formula unit
space group = C2, No. 5
V = 14.5 Å³ per atom
ΔE to the lowest computed polymorph = 0 meV/atom
calculated total energy = -7.343 eV/atom